Record 1
# BaCr2Tc

A relaxed BaCr2Tc crystal (GGA-PBE, Alexandria via LeMat-Bulk).

Properties
The calculation puts the formation energy at 731 meV per atom. The value obtained for the size of the total moment is 0.000 μB/cell. For the electronic total energy, the calculation gives -0.526 Ry per atom. Its energy above the most stable polymorph in this dataset is 0.392 eV per formula unit.

a = 3.3198 Å, b = 3.3198 Å, c = 7.5569 Å
α = 90.00°, β = 90.00°, γ = 90.00°
Space group P4/mmm (No. 123)
One atom of each set of equivalent atoms:
Ba 0.0000 0.0000 0.0000
Cr 0.5000 0.5000 0.3655
Tc 0.0000 0.0000 0.5000

Record 2
# Ba4CrTc

A relaxed Ba4CrTc crystal (GGA-PBE, Alexandria via LeMat-Bulk).

Properties
The calculation puts the formation energy at 1381 meV per atom. The value obtained for the size of the total moment is 29.628 μB/cell. For the electronic total energy, the calculation gives -0.238 Ry per atom.

a = 10.0444 Å, b = 10.0444 Å, c = 10.0444 Å
α = 90.00°, β = 90.00°, γ = 90.00°
Space group F-43m (No. 216)
One atom of each set of equivalent atoms:
Ba 0.1244 0.1244 0.3756
Cr 0.0000 0.0000 0.0000
Tc 0.2500 0.2500 0.7500

Record 3
# BaCrTc4

A relaxed BaCrTc4 crystal (GGA-PBE, Alexandria via LeMat-Bulk).

Properties
The calculation puts the formation energy at 889 meV per atom. The value obtained for the size of the total moment is 10.616 μB/cell. For the electronic total energy, the calculation gives -0.584 Ry per atom.

a = 7.6406 Å, b = 7.6406 Å, c = 7.6406 Å
α = 90.00°, β = 90.00°, γ = 90.00°
Space group F-43m (No. 216)
One atom of each set of equivalent atoms:
Ba 0.0000 0.0000 0.0000
Cr 0.2500 0.2500 0.7500
Tc 0.1236 0.1236 0.3764